(1)
Entry from Alexandria via LeMat-Bulk: crystalline NdBiAs2 at its relaxed geometry (PBE).

V: 142.8 Å³ per cell
total moment: 0.00 μB per formula unit
energy relative to the lowest polymorph listed for this composition: 39.76 kJ per mole of atoms
E_form: -0.146 eV/atom
uncorrected energy: -18.534 eV per cell

a = 4.441 Å, b = 4.441 Å, c = 8.748 Å
α = 75.30°, β = 75.30°, γ = 60.00°
Fractional coordinates of all 4 atoms:
Nd1 0.500 0.500 0.500
As1 0.107 0.107 0.678
As2 0.893 0.893 0.322
Bi1 0.000 0.000 0.000

=====

(2)
Entry from Alexandria via LeMat-Bulk: crystalline Nd3BiAs at its relaxed geometry (PBE).

V: 620.2 Å³ per cell
total moment: 0.00 μB per formula unit
E_form: -0.991 eV/atom
uncorrected energy: -111.164 eV per cell

a = 4.400 Å, b = 8.732 Å, c = 16.145 Å
α = 90.00°, β = 90.00°, γ = 90.00°
Fractional coordinates of all 20 atoms:
As1 0.750 0.691 0.052
Nd1 0.250 0.675 0.714
Bi1 0.250 0.608 0.310
As2 0.250 0.809 0.552
Nd2 0.750 0.518 0.893
Nd3 0.750 0.152 0.035
Nd4 0.250 0.348 0.535
Nd5 0.250 0.175 0.786
Bi2 0.750 0.392 0.690
As3 0.750 0.191 0.448
Nd6 0.750 0.018 0.607
Nd7 0.250 0.848 0.965
Bi3 0.250 0.108 0.190
As4 0.250 0.309 0.948
Nd8 0.750 0.325 0.286
Nd9 0.750 0.652 0.465
Nd10 0.250 0.982 0.393
Bi4 0.750 0.892 0.810
Nd11 0.250 0.482 0.107
Nd12 0.750 0.825 0.214

=====

(3)
Entry from Alexandria via LeMat-Bulk: crystalline Nd6BiAs2P3 at its relaxed geometry (PBE).

V: 331.6 Å³ per cell
total moment: 0.00 μB per formula unit
E_form: -1.401 eV/atom
uncorrected energy: -74.834 eV per cell

a = 4.258 Å, b = 8.586 Å, c = 9.567 Å
α = 103.19°, β = 102.86°, γ = 90.00°
Fractional coordinates of all 12 atoms:
P1 0.166 0.832 0.332
Nd1 0.001 0.730 0.002
As1 0.167 0.334 0.334
Nd2 0.674 0.084 0.349
Nd3 0.334 0.413 0.667
Nd4 0.999 0.270 0.998
Nd5 0.326 0.916 0.651
Bi1 0.500 0.000 0.000
As2 0.833 0.666 0.666
P2 0.500 0.500 0.000
Nd6 0.666 0.587 0.333
P3 0.834 0.168 0.668

=====

(4)
Entry from Alexandria via LeMat-Bulk: crystalline Nd4BiAs2P at its relaxed geometry (PBE).

V: 230.1 Å³ per cell
total moment: 0.00 μB per formula unit
E_form: -1.328 eV/atom
uncorrected energy: -48.287 eV per cell

a = 4.322 Å, b = 7.497 Å, c = 7.528 Å
α = 70.65°, β = 90.00°, γ = 90.00°
Fractional coordinates of all 8 atoms:
Nd1 0.500 0.752 0.261
As1 0.000 0.000 0.000
As2 0.500 0.000 0.500
Nd2 0.000 0.239 0.266
P1 0.000 0.500 0.500
Bi1 0.500 0.500 0.000
Nd3 0.000 0.761 0.734
Nd4 0.500 0.248 0.739

=====

(5)
Entry from Alexandria via LeMat-Bulk: crystalline NdBiAs2Pd5 at its relaxed geometry (PBE).

V: 176.3 Å³ per cell
total moment: 0.00 μB per formula unit
E_form: -0.482 eV/atom
uncorrected energy: -48.253 eV per cell

a = 4.787 Å, b = 4.787 Å, c = 7.694 Å
α = 90.00°, β = 90.00°, γ = 90.00°
Fractional coordinates of all 9 atoms:
As1 0.500 0.500 0.831
Pd1 0.500 0.500 0.500
Pd2 0.000 0.500 0.743
Pd3 0.000 0.500 0.257
Pd4 0.500 0.000 0.257
Nd1 0.000 0.000 0.500
Bi1 0.000 0.000 0.000
As2 0.500 0.500 0.169
Pd5 0.500 0.000 0.743

=====

(6)
Entry from Alexandria via LeMat-Bulk: crystalline NdBi2As2Pd7 at its relaxed geometry (PBE).

V: 244.3 Å³ per cell
total moment: 0.00 μB per formula unit
E_form: -0.428 eV/atom
uncorrected energy: -63.310 eV per cell

a = 4.127 Å, b = 4.127 Å, c = 14.434 Å
α = 85.51°, β = 85.51°, γ = 89.65°
Fractional coordinates of all 12 atoms:
Pd1 0.957 0.458 0.153
Pd2 0.458 0.957 0.153
Bi1 0.876 0.876 0.396
Pd3 0.642 0.642 0.575
Pd4 0.358 0.358 0.425
As1 0.570 0.570 0.749
Nd1 0.000 0.000 0.000
Pd5 0.500 0.500 0.000
Bi2 0.124 0.124 0.604
Pd6 0.043 0.542 0.847
Pd7 0.542 0.043 0.847
As2 0.430 0.430 0.251

=====

(7)
Entry from Alexandria via LeMat-Bulk: crystalline Nd3BiAs2Pd9 at its relaxed geometry (PBE).

V: 341.6 Å³ per cell
total moment: 0.00 μB per formula unit
E_form: -0.553 eV/atom
uncorrected energy: -82.517 eV per cell

a = 5.774 Å, b = 5.774 Å, c = 11.832 Å
α = 90.00°, β = 90.00°, γ = 120.00°
Fractional coordinates of all 15 atoms:
Pd1 0.500 0.000 0.000
Nd1 0.000 0.000 0.000
Bi1 0.000 0.000 0.500
Pd2 0.000 0.500 0.000
Pd3 0.500 0.500 0.000
Pd4 0.164 0.329 0.315
Pd5 0.671 0.836 0.315
Nd2 0.667 0.333 0.235
As1 0.667 0.333 0.840
As2 0.333 0.667 0.160
Nd3 0.333 0.667 0.765
Pd6 0.836 0.164 0.685
Pd7 0.329 0.164 0.685
Pd8 0.164 0.836 0.315
Pd9 0.836 0.671 0.685

=====

(8)
Entry from Alexandria via LeMat-Bulk: crystalline PrNdBiAs at its relaxed geometry (PBE).

V: 125.0 Å³ per cell
total moment: 0.00 μB per formula unit
E_form: -1.209 eV/atom
uncorrected energy: -22.915 eV per cell

a = 4.428 Å, b = 4.428 Å, c = 7.796 Å
α = 73.50°, β = 73.50°, γ = 60.00°
Fractional coordinates of all 4 atoms:
Bi1 0.499 0.499 0.502
Nd1 0.743 0.743 0.772
Pr1 0.257 0.257 0.228
As1 0.001 0.001 0.998